# 1
The following is a GGA-PBE calculation of crystalline MoAs2SeN at its relaxed geometry, from Alexandria via LeMat-Bulk.

a = 4.2334 Å, b = 4.2334 Å, c = 4.3965 Å
α = 90.00°, β = 90.00°, γ = 90.00°
Space group P4/mmm (No. 123)
Unique sites:
Mo: 0.0000 0.0000 0.0000 [1 per cell]
As: 0.0000 0.5000 0.5000 [2 per cell]
Se: 0.5000 0.5000 0.0000 [1 per cell]
N: 0.5000 0.5000 0.5000 [1 per cell]

- energy (eV/atom) = -5.476
- energy above the lowest structure with this stoichiometry (meV per atom) = 0.0

# 2
The following is a GGA-PBE calculation of crystalline TiMo2AsN at its relaxed geometry, from Alexandria via LeMat-Bulk.

a = 3.9873 Å, b = 3.9873 Å, c = 4.7536 Å
α = 90.00°, β = 90.00°, γ = 90.00°
Space group P4/mmm (No. 123)
Unique sites:
Ti: 0.0000 0.0000 0.0000 [1 per cell]
Mo: 0.0000 0.5000 0.5000 [2 per cell]
As: 0.5000 0.5000 0.0000 [1 per cell]
N: 0.5000 0.5000 0.5000 [1 per cell]

- energy (eV/atom) = -8.442

# 3
The following is a GGA-PBE calculation of crystalline Na2MoAs at its relaxed geometry, from Alexandria via LeMat-Bulk.

a = 10.6117 Å, b = 10.6117 Å, c = 4.9142 Å
α = 90.00°, β = 90.00°, γ = 90.00°
Space group I-42d (No. 122)
Unique sites:
Na: 0.0989 0.2500 0.1250 [8 per cell]
Mo: 0.0000 0.0000 0.5000 [4 per cell]
As: 0.0000 0.0000 0.0000 [4 per cell]

- energy of formation from the pure elements (meV/atom) = 569.1
- energy (eV/atom) = -3.961

# 4
The following is a GGA-PBE calculation of crystalline NaMoAs at its relaxed geometry, from Alexandria via LeMat-Bulk.

a = 4.6308 Å, b = 4.6308 Å, c = 2.7981 Å
α = 90.00°, β = 90.00°, γ = 120.00°
Space group P-6m2 (No. 187)
Unique sites:
Na: 0.0000 0.0000 0.0000 [1 per cell]
Mo: 0.6667 0.3333 0.5000 [1 per cell]
As: 0.3333 0.6667 0.5000 [1 per cell]

- energy of formation from the pure elements (meV/atom) = 413.3
- energy (eV/atom) = -5.187
- energy above the lowest structure with this stoichiometry (meV per atom) = 688.4

# 5
The following is a GGA-PBE calculation of crystalline NaMoAs2 at its relaxed geometry, from Alexandria via LeMat-Bulk.

a = 3.3320 Å, b = 3.3320 Å, c = 24.6084 Å
α = 90.00°, β = 90.00°, γ = 120.00°
Space group R3m (No. 160, hexagonal axes)
Unique sites:
Na: 0.0000 0.0000 0.0000 [3 per cell]
Mo: 0.0000 0.0000 0.1660 [3 per cell]
As: 0.0000 0.0000 0.5689 [3 per cell]
As: 0.0000 0.0000 0.7634 [3 per cell]

- energy of formation from the pure elements (meV/atom) = -269.5
- energy (eV/atom) = -5.632
- energy above the lowest structure with this stoichiometry (meV per atom) = 0.3

# 6
The following is a GGA-PBE calculation of crystalline NaMoAs2 at its relaxed geometry, from Alexandria via LeMat-Bulk.

a = 6.5623 Å, b = 6.5623 Å, c = 6.5623 Å
α = 90.00°, β = 90.00°, γ = 90.00°
Space group Fm-3m (No. 225)
Unique sites:
Na: 0.0000 0.0000 0.0000 [4 per cell]
Mo: 0.0000 0.0000 0.5000 [4 per cell]
As: 0.2500 0.2500 0.2500 [8 per cell]

- energy of formation from the pure elements (meV/atom) = 135.1
- energy (eV/atom) = -5.227
- energy above the lowest structure with this stoichiometry (meV per atom) = 404.9

# 7
The following is a GGA-PBE calculation of crystalline NaMoAs at its relaxed geometry, from Alexandria via LeMat-Bulk.

a = 4.3324 Å, b = 4.3324 Å, c = 3.5956 Å
α = 90.00°, β = 90.00°, γ = 120.00°
Space group P-6m2 (No. 187)
Unique sites:
Na: 0.0000 0.0000 0.0000 [1 per cell]
Mo: 0.6667 0.3333 0.5000 [1 per cell]
As: 0.3333 0.6667 0.5000 [1 per cell]

- energy of formation from the pure elements (meV/atom) = 420.9
- energy (eV/atom) = -5.179
- energy above the lowest structure with this stoichiometry (meV per atom) = 696.0

# 8
The following is a GGA-PBE calculation of crystalline NaMoAs at its relaxed geometry, from Alexandria via LeMat-Bulk.

a = 2.7382 Å, b = 3.2756 Å, c = 7.1834 Å
α = 78.97°, β = 81.91°, γ = 67.84°
Space group P1 (No. 1)
Unique sites:
Na: 0.0000 0.0000 0.0000 [1 per cell]
Mo: 0.4433 0.3732 0.3787 [1 per cell]
As: 0.7001 0.7145 0.6352 [1 per cell]

- energy of formation from the pure elements (meV/atom) = 238.9
- energy (eV/atom) = -5.361
- energy above the lowest structure with this stoichiometry (meV per atom) = 514.0

Copy entry 7 word for word.
The following is a GGA-PBE calculation of crystalline NaMoAs at its relaxed geometry, from Alexandria via LeMat-Bulk.

a = 4.3324 Å, b = 4.3324 Å, c = 3.5956 Å
α = 90.00°, β = 90.00°, γ = 120.00°
Space group P-6m2 (No. 187)
Unique sites:
Na: 0.0000 0.0000 0.0000 [1 per cell]
Mo: 0.6667 0.3333 0.5000 [1 per cell]
As: 0.3333 0.6667 0.5000 [1 per cell]

- energy of formation from the pure elements (meV/atom) = 420.9
- energy (eV/atom) = -5.179
- energy above the lowest structure with this stoichiometry (meV per atom) = 696.0

Repeat the fifth record exactly.
The following is a GGA-PBE calculation of crystalline NaMoAs2 at its relaxed geometry, from Alexandria via LeMat-Bulk.

a = 3.3320 Å, b = 3.3320 Å, c = 24.6084 Å
α = 90.00°, β = 90.00°, γ = 120.00°
Space group R3m (No. 160, hexagonal axes)
Unique sites:
Na: 0.0000 0.0000 0.0000 [3 per cell]
Mo: 0.0000 0.0000 0.1660 [3 per cell]
As: 0.0000 0.0000 0.5689 [3 per cell]
As: 0.0000 0.0000 0.7634 [3 per cell]

- energy of formation from the pure elements (meV/atom) = -269.5
- energy (eV/atom) = -5.632
- energy above the lowest structure with this stoichiometry (meV per atom) = 0.3

Q: The highest energy belongs to which entry?
A: Na2MoAs

Q: What is the formula in the fifth record?
A: NaMoAs2